RbInHgBr2: optimized geometry, PBE-GGA.

Cell lengths 6.087, 6.087, 5.601 Å; angles 90.00, 90.00, 90.00 degrees
Fractional positions:
Rb 0.000 0.000 0.000
In 0.500 0.500 0.500
Hg 0.500 0.500 0.000
Br 0.000 0.500 0.500
Br 0.500 0.000 0.500

Summary:
**Symmetry**: No. 123
**Raw total energy**: -11.565 eV for the cell shown
**Formation energy without anion corrections**: -0.842 eV/atom
**Crystal system**: tetragonal